Material: AlCrAgO2
Method: DFT, PBE+U
State: optimized geometry

Output
- Raw total energy: -25.07 eV per cell
- M_tot: 0.028 μB per atom

Unit cell a=3.713 b=3.713 c=5.143 alpha=90.00 beta=90.00 gamma=90.00
Positions (direct):
Al1 0.000 0.000 0.000
Cr1 0.500 0.500 0.500
Ag1 0.000 0.000 0.500
O1 0.000 0.500 0.000
O2 0.500 0.000 0.000